# PdS2O | Alexandria | PBEsol | optimized geometry
# Fermi-level density of states in states/eV/atom: 0.62
# Size of the total moment in Bohr magnetons per cell: 0.0
# Formation energy from raw total energies in eV per atom: 0.304
# Space group: I-42d, No. 122
data_PdS2O
_chemical_formula_sum 'Pd2 S4 O2'
_cell_length_a 4.617
_cell_length_b 4.617
_cell_length_c 6.731
_cell_angle_alpha 110.06
_cell_angle_beta 110.06
_cell_angle_gamma 90.00
_symmetry_space_group_name_H-M 'P 1'
_symmetry_Int_Tables_number 1
_symmetry_space_group_name_Hall 'P 1'
loop_
_atom_site_label
_atom_site_type_symbol
_atom_site_fract_x
_atom_site_fract_y
_atom_site_fract_z
S1 S 0.125 0.170 0.750
S2 S 0.420 0.875 0.250
S3 S 0.625 0.580 0.750
S4 S 0.830 0.375 0.250
O1 O 0.750 0.250 0.500
O2 O 0.500 0.500 0.000
Pd1 Pd 0.000 0.000 0.000
Pd2 Pd 0.250 0.750 0.500